# 1
# BeGeS2N

BeGeS2N after structural relaxation (PBE-GGA, the Alexandria database).

Cell: 4.784 4.784 3.594 Å, 90.00 90.00 90.00°
Positions (direct):
Be 0.000 0.000 0.000
Ge 0.500 0.500 0.500
S 0.000 0.500 0.500
S 0.500 0.000 0.500
N 0.500 0.500 0.000

## Properties
Distance to the lowest polymorph of the same formula in meV/atom: 510
Calculated total energy in eV per formula unit: -19.9
Density of states at the Fermi level in states/eV/cell: 2.06
Raw formation energy in eV/f.u.: 5.0
Total moment in μB/f.u.: 1.2

# 2
# LaPr2Sm2Mg

LaPr2Sm2Mg after structural relaxation (PBE-GGA, the Alexandria database).

Cell: 6.246 19.071 3.485 Å, 90.00 90.00 90.00°
Positions (direct):
La 0.000 0.000 0.000
La 0.500 0.500 0.500
Pr 0.163 0.363 0.500
Pr 0.337 0.863 0.000
Pr 0.663 0.137 0.000
Pr 0.837 0.637 0.500
Sm 0.162 0.202 0.000
Sm 0.338 0.702 0.500
Sm 0.662 0.298 0.500
Sm 0.838 0.798 0.000
Mg 0.000 0.500 0.000
Mg 0.500 0.000 0.500

## Properties
Calculated total energy in eV per formula unit: -24.3
Density of states at the Fermi level in states/eV/cell: 18.29
ΔH_f (0 K) in eV per atom: 0.201
Total moment in μB/f.u.: 0.2

# 3
# Cs2Ba2Na

Cs2Ba2Na after structural relaxation (PBE-GGA, the Alexandria database).

Cell: 5.717 5.717 25.852 Å, 90.00 90.00 90.00°
Positions (direct):
Cs 0.000 0.000 0.093
Cs 0.000 0.000 0.907
Cs 0.500 0.500 0.407
Cs 0.500 0.500 0.593
Ba 0.000 0.500 0.250
Ba 0.000 0.500 0.750
Ba 0.500 0.000 0.250
Ba 0.500 0.000 0.750
Na 0.000 0.000 0.500
Na 0.500 0.500 0.000

## Properties
Distance to the lowest polymorph of the same formula in meV/atom: 40
Calculated total energy in eV per formula unit: -5.6
Density of states at the Fermi level in states/eV/cell: 14.39
ΔH_f (0 K) in eV per atom: 0.247
Total moment in μB/f.u.: 0.8

# 4
# Nb2SN

Nb2SN after structural relaxation (PBE-GGA, the Alexandria database).

Cell: 5.915 5.915 5.915 Å, 90.00 90.00 90.00°
Positions (direct):
Nb 0.250 0.250 0.250
Nb 0.250 0.250 0.750
Nb 0.250 0.750 0.250
Nb 0.250 0.750 0.750
Nb 0.750 0.250 0.250
Nb 0.750 0.250 0.750
Nb 0.750 0.750 0.250
Nb 0.750 0.750 0.750
S 0.000 0.000 0.000
S 0.000 0.500 0.500
S 0.500 0.000 0.500
S 0.500 0.500 0.000
N 0.000 0.000 0.500
N 0.000 0.500 0.000
N 0.500 0.000 0.000
N 0.500 0.500 0.500

## Properties
Distance to the lowest polymorph of the same formula in meV/atom: 254
Calculated total energy in eV per formula unit: -33.5
Density of states at the Fermi level in states/eV/cell: 27.26
Raw formation energy in eV/f.u.: -0.9
Total moment in μB/f.u.: 0.0

# 5
# PaCuAu3

PaCuAu3 after structural relaxation (PBE-GGA, the Alexandria database).

Cell: 5.293 5.555 7.029 Å, 90.00 110.84 90.00°
Positions (direct):
Pa 0.236 0.250 0.165
Pa 0.764 0.750 0.835
Cu 0.358 0.750 0.046
Cu 0.642 0.250 0.954
Au 0.196 0.005 0.711
Au 0.196 0.495 0.711
Au 0.344 0.750 0.402
Au 0.656 0.250 0.598
Au 0.804 0.505 0.289
Au 0.804 0.995 0.289

## Properties
Calculated total energy in eV per formula unit: -24.5
Density of states at the Fermi level in states/eV/cell: 9.38
ΔH_f (0 K) in eV per atom: -0.209
Total moment in μB/f.u.: 0.0

# 6
# AsIrSN2

AsIrSN2 after structural relaxation (PBE-GGA, the Alexandria database).

Cell: 3.500 3.500 7.421 Å, 90.00 90.00 90.00°
Positions (direct):
As 0.000 0.000 0.000
Ir 0.500 0.500 0.500
S 0.000 0.000 0.500
N 0.000 0.500 0.000
N 0.500 0.000 0.000

## Properties
Distance to the lowest polymorph of the same formula in meV/atom: 630
Calculated total energy in eV per formula unit: -26.2
Density of states at the Fermi level in states/eV/cell: 5.65
Raw formation energy in eV/f.u.: 8.1
Total moment in μB/f.u.: 0.6

# 7
# Ba2AlReO6

Ba2AlReO6 after structural relaxation (PBE-GGA, the Alexandria database).

Cell: 6.437 6.437 6.437 Å, 130.24 130.24 73.02°
Positions (direct):
Ba 0.250 0.750 0.500
Ba 0.750 0.250 0.500
Al 0.000 0.000 0.000
Re 0.500 0.500 0.000
O 0.177 0.177 0.000
O 0.259 0.259 0.519
O 0.259 0.741 0.000
O 0.741 0.259 0.000
O 0.741 0.741 0.481
O 0.823 0.823 0.000

## Properties
Calculated total energy in eV per formula unit: -72.6
Raw formation energy in eV/f.u.: -22.8
Total moment in μB/f.u.: 0.0

# 8
# K2MnGaS4

K2MnGaS4 after structural relaxation (PBE-GGA, the Alexandria database).

Cell: 12.872 11.264 7.498 Å, 84.09 60.50 35.41°
Positions (direct):
K 0.054 0.054 0.696
K 0.304 0.304 0.946
K 0.696 0.696 0.054
K 0.946 0.946 0.304
Mn 0.125 0.125 0.125
Mn 0.875 0.875 0.875
Ga 0.375 0.375 0.375
Ga 0.625 0.625 0.625
S 0.027 0.324 0.424
S 0.274 0.576 0.676
S 0.324 0.027 0.726
S 0.424 0.726 0.027
S 0.576 0.274 0.973
S 0.676 0.973 0.274
S 0.726 0.424 0.324
S 0.973 0.676 0.576

## Properties
Calculated total energy in eV per formula unit: -38.1
Density of states at the Fermi level in states/eV/cell: 4.04
Raw formation energy in eV/f.u.: -7.2
Total moment in μB/f.u.: 4.0

# 9
# NaGaSe2

NaGaSe2 after structural relaxation (PBE-GGA, the Alexandria database).

Cell: 6.599 5.309 11.902 Å, 90.00 97.84 90.00°
Positions (direct):
Na 0.186 0.057 0.210
Na 0.186 0.443 0.710
Na 0.814 0.557 0.290
Na 0.814 0.943 0.790
Ga 0.426 0.704 0.017
Ga 0.426 0.796 0.517
Ga 0.574 0.204 0.483
Ga 0.574 0.296 0.983
Se 0.098 0.542 0.092
Se 0.098 0.958 0.592
Se 0.382 0.512 0.350
Se 0.382 0.988 0.850
Se 0.618 0.012 0.150
Se 0.618 0.488 0.650
Se 0.902 0.042 0.408
Se 0.902 0.458 0.908

## Properties
Calculated total energy in eV per formula unit: -14.0
Density of states at the Fermi level in states/eV/cell: 0.00
Raw formation energy in eV/f.u.: -2.7
Total moment in μB/f.u.: 0.0

# 10
# Tb4NiBi

Tb4NiBi after structural relaxation (PBE-GGA, the Alexandria database).

Cell: 10.322 10.322 6.454 Å, 90.00 90.00 149.72°
Positions (direct):
Tb 0.046 0.954 0.500
Tb 0.196 0.804 0.250
Tb 0.196 0.804 0.752
Tb 0.400 0.600 0.501
Tb 0.600 0.400 0.001
Tb 0.804 0.196 0.252
Tb 0.804 0.196 0.750
Tb 0.954 0.046 0.000
Ni 0.085 0.915 0.001
Ni 0.915 0.085 0.501
Bi 0.350 0.650 0.001
Bi 0.650 0.350 0.501

## Properties
Distance to the lowest polymorph of the same formula in meV/atom: 130
Calculated total energy in eV per formula unit: -30.0
Density of states at the Fermi level in states/eV/cell: 12.46
ΔH_f (0 K) in eV per atom: -0.299
Total moment in μB/f.u.: 0.0

# 11
# SrOsSN2

SrOsSN2 after structural relaxation (PBE-GGA, the Alexandria database).

Cell: 3.924 3.924 5.178 Å, 90.00 90.00 90.00°
Positions (direct):
Sr 0.000 0.000 0.000
Os 0.500 0.500 0.500
S 0.500 0.500 0.000
N 0.000 0.500 0.500
N 0.500 0.000 0.500

## Properties
Distance to the lowest polymorph of the same formula in meV/atom: 0
Calculated total energy in eV per formula unit: -34.8
Density of states at the Fermi level in states/eV/cell: 2.17
Raw formation energy in eV/f.u.: -1.1
Total moment in μB/f.u.: 0.3

# 12
# LaMg2Pd

LaMg2Pd after structural relaxation (PBE-GGA, the Alexandria database).

Cell: 7.121 7.121 7.121 Å, 90.00 90.00 90.00°
Positions (direct):
La 0.000 0.000 0.000
La 0.000 0.500 0.500
La 0.500 0.000 0.500
La 0.500 0.500 0.000
Mg 0.250 0.250 0.250
Mg 0.250 0.250 0.750
Mg 0.250 0.750 0.250
Mg 0.250 0.750 0.750
Mg 0.750 0.250 0.250
Mg 0.750 0.250 0.750
Mg 0.750 0.750 0.250
Mg 0.750 0.750 0.750
Pd 0.000 0.000 0.500
Pd 0.000 0.500 0.000
Pd 0.500 0.000 0.000
Pd 0.500 0.500 0.500

## Properties
Calculated total energy in eV per formula unit: -14.3
Density of states at the Fermi level in states/eV/cell: 12.55
ΔH_f (0 K) in eV per atom: -0.245
Total moment in μB/f.u.: 0.0

# 13
# TeBrCl2F

TeBrCl2F after structural relaxation (PBE-GGA, the Alexandria database).

Cell: 4.991 4.991 6.041 Å, 90.00 90.00 90.00°
Positions (direct):
Te 0.000 0.000 0.000
Br 0.000 0.000 0.500
Cl 0.000 0.500 0.500
Cl 0.500 0.000 0.500
F 0.500 0.500 0.000

## Properties
Calculated total energy in eV per formula unit: -8.7
Density of states at the Fermi level in states/eV/cell: 1.63
Raw formation energy in eV/f.u.: 1.7
Total moment in μB/f.u.: 2.2

# 14
# LiTm2Sc3Te6

LiTm2Sc3Te6 after structural relaxation (PBE-GGA, the Alexandria database).

Cell: 7.287 7.287 7.328 Å, 99.59 99.59 119.97°
Positions (direct):
Li 0.000 0.000 0.000
Tm 0.336 0.664 0.000
Tm 0.664 0.336 0.000
Sc 0.171 0.829 0.500
Sc 0.500 0.500 0.500
Sc 0.829 0.171 0.500
Te 0.084 0.408 0.253
Te 0.238 0.238 0.744
Te 0.408 0.084 0.253
Te 0.592 0.916 0.747
Te 0.762 0.762 0.256
Te 0.916 0.592 0.747

## Properties
Calculated total energy in eV per formula unit: -62.8
Density of states at the Fermi level in states/eV/cell: 7.33
Raw formation energy in eV/f.u.: -14.1
Total moment in μB/f.u.: 0.0

# 15
# ScAg2Mo

ScAg2Mo after structural relaxation (PBE-GGA, the Alexandria database).

Cell: 9.739 2.837 5.283 Å, 90.00 100.02 90.00°
Positions (direct):
Sc 0.000 0.000 0.000
Sc 0.500 0.500 0.000
Ag 0.243 0.000 0.741
Ag 0.492 0.000 0.490
Ag 0.743 0.500 0.741
Ag 0.992 0.500 0.490
Mo 0.240 0.500 0.248
Mo 0.740 0.000 0.248

## Properties
Distance to the lowest polymorph of the same formula in meV/atom: 106
Calculated total energy in eV per formula unit: -21.9
Density of states at the Fermi level in states/eV/cell: 5.72
ΔH_f (0 K) in eV per atom: 0.250
Total moment in μB/f.u.: 0.0

# 16
# CrCoRe4

CrCoRe4 after structural relaxation (PBE-GGA, the Alexandria database).

Cell: 5.099 5.099 5.099 Å, 60.00 60.00 60.00°
Positions (direct):
Cr 0.000 0.000 0.000
Co 0.250 0.250 0.250
Re 0.126 0.625 0.625
Re 0.625 0.126 0.625
Re 0.625 0.625 0.126
Re 0.625 0.625 0.625

## Properties
Calculated total energy in eV per formula unit: -63.1
Density of states at the Fermi level in states/eV/cell: 4.94
ΔH_f (0 K) in eV per atom: 0.566
Total moment in μB/f.u.: 0.0

# 17
# Ba2Hg2Ge

Ba2Hg2Ge after structural relaxation (PBE-GGA, the Alexandria database).

Cell: 6.734 6.734 13.098 Å, 114.75 114.75 41.09°
Positions (direct):
Ba 0.088 0.088 0.391
Ba 0.309 0.309 0.871
Ba 0.691 0.691 0.129
Ba 0.912 0.912 0.609
Hg 0.041 0.041 0.908
Hg 0.365 0.365 0.378
Hg 0.635 0.635 0.622
Hg 0.959 0.959 0.092
Ge 0.420 0.420 0.184
Ge 0.580 0.580 0.816

## Properties
Distance to the lowest polymorph of the same formula in meV/atom: 0
Calculated total energy in eV per formula unit: -11.5
Density of states at the Fermi level in states/eV/cell: 5.83
ΔH_f (0 K) in eV per atom: -0.493
Total moment in μB/f.u.: 0.0

# 18
# Mg2CdNiC

Mg2CdNiC after structural relaxation (PBE-GGA, the Alexandria database).

Cell: 4.551 4.551 3.726 Å, 90.00 90.00 90.00°
Positions (direct):
Mg 0.000 0.500 0.000
Mg 0.500 0.000 0.000
Cd 0.000 0.000 0.500
Ni 0.500 0.500 0.500
C 0.500 0.500 0.000

## Properties
Calculated total energy in eV per formula unit: -18.7
Density of states at the Fermi level in states/eV/cell: 1.79
ΔH_f (0 K) in eV per atom: 0.090
Total moment in μB/f.u.: 0.0

# 19
# Ac2TbHfS6

Ac2TbHfS6 after structural relaxation (PBE-GGA, the Alexandria database).

Cell: 7.303 7.303 7.303 Å, 58.37 58.37 58.37°
Positions (direct):
Ac 0.000 0.000 0.000
Ac 0.499 0.499 0.499
Tb 0.786 0.786 0.786
Hf 0.289 0.289 0.289
S 0.063 0.627 0.434
S 0.140 0.545 0.953
S 0.434 0.063 0.627
S 0.545 0.953 0.140
S 0.627 0.434 0.063
S 0.953 0.140 0.545

## Properties
Calculated total energy in eV per formula unit: -66.7
Density of states at the Fermi level in states/eV/cell: 5.12
Raw formation energy in eV/f.u.: -19.2
Total moment in μB/f.u.: 0.0

# 20
# Pr3GaRh3

Pr3GaRh3 after structural relaxation (PBE-GGA, the Alexandria database).

Cell: 5.782 5.782 14.044 Å, 90.00 90.00 137.76°
Positions (direct):
Pr 0.018 0.982 0.750
Pr 0.294 0.706 0.606
Pr 0.294 0.706 0.894
Pr 0.706 0.294 0.106
Pr 0.706 0.294 0.394
Pr 0.982 0.018 0.250
Ga 0.000 0.000 0.000
Ga 0.000 0.000 0.500
Rh 0.261 0.739 0.250
Rh 0.422 0.578 0.088
Rh 0.422 0.578 0.412
Rh 0.578 0.422 0.588
Rh 0.578 0.422 0.912
Rh 0.739 0.261 0.750

## Properties
Calculated total energy in eV per formula unit: -44.5
Density of states at the Fermi level in states/eV/cell: 8.64
ΔH_f (0 K) in eV per atom: -0.728
Total moment in μB/f.u.: 0.0